# 1
Nd3Er8Th | PBE | relaxed

abc: 8.6836 8.6836 8.6836
angles: 136.96 98.28 97.18
With the nearest neighbours (Å) after each atom.
Atoms (fractional coordinates):
Nd 0.0000 0.0000 0.0000  8 Er 3.28-3.48
Nd 0.2598 0.5000 0.7598  6 Er 3.75-3.77, 2 Th 4.19
Nd 0.7402 0.5000 0.2402  6 Er 3.75-3.77, 2 Th 4.19
Er 0.0796 0.8280 0.2516  6 Er 3.36-3.65, 1 Th 3.45, 3 Nd 3.48-3.75
Er 0.2495 0.5011 0.2517  6 Er 3.16-3.40, 1 Nd 3.28, 1 Th 3.28
Er 0.2495 0.9978 0.7483  6 Er 3.16-3.40, 1 Nd 3.28, 1 Th 3.28
Er 0.4237 0.1720 0.2516  6 Er 3.36-3.65, 1 Th 3.45, 3 Nd 3.48-3.75
Er 0.5763 0.8280 0.7484  6 Er 3.36-3.65, 1 Th 3.45, 3 Nd 3.48-3.75
Er 0.7505 0.0022 0.2517  6 Er 3.16-3.40, 1 Nd 3.28, 1 Th 3.28
Er 0.7505 0.4989 0.7483  6 Er 3.16-3.40, 1 Nd 3.28, 1 Th 3.28
Er 0.9204 0.1720 0.7484  6 Er 3.36-3.65, 1 Th 3.45, 3 Nd 3.48-3.75
Th 0.5000 0.0000 0.5000  8 Er 3.28-3.45

Its formation energy is 0.30 eV/atom. For the theoretical density, the calculation gives 8.0 g/cm³.

# 2
Nd12Er6Th | PBE | relaxed

abc: 9.5963 9.5963 9.5963
angles: 110.98 110.98 110.98
With the nearest neighbours (Å) after each atom.
Atoms (fractional coordinates):
Nd 0.0593 0.5814 0.3741  4 Er 3.59-3.70, 8 Nd 3.60-3.68
Nd 0.1038 0.1565 0.7397  1 Th 3.59, 8 Nd 3.59-3.68, 3 Er 3.60-3.72
Nd 0.1565 0.7397 0.1038  1 Th 3.59, 8 Nd 3.59-3.68, 3 Er 3.60-3.72
Nd 0.2603 0.8962 0.8435  1 Th 3.59, 8 Nd 3.59-3.68, 3 Er 3.60-3.72
Nd 0.3741 0.0593 0.5814  4 Er 3.59-3.70, 8 Nd 3.60-3.68
Nd 0.4186 0.6259 0.9407  4 Er 3.59-3.70, 8 Nd 3.60-3.68
Nd 0.5814 0.3741 0.0593  4 Er 3.59-3.70, 8 Nd 3.60-3.68
Nd 0.6259 0.9407 0.4186  4 Er 3.59-3.70, 8 Nd 3.60-3.68
Nd 0.7397 0.1038 0.1565  8 Nd 3.59-3.68, 1 Th 3.59, 3 Er 3.60-3.72
Nd 0.8435 0.2603 0.8962  8 Nd 3.59-3.68, 1 Th 3.59, 3 Er 3.60-3.72
Nd 0.8962 0.8435 0.2603  8 Nd 3.59-3.68, 1 Th 3.59, 3 Er 3.60-3.72
Nd 0.9407 0.4186 0.6259  4 Er 3.59-3.70, 8 Nd 3.60-3.68
Er 0.2124 0.3153 0.4684  4 Er 3.53-3.61, 1 Th 3.58, 7 Nd 3.59-3.72
Er 0.3153 0.4684 0.2124  4 Er 3.53-3.61, 1 Th 3.58, 7 Nd 3.59-3.72
Er 0.4684 0.2124 0.3153  4 Er 3.53-3.61, 1 Th 3.58, 7 Nd 3.59-3.72
Er 0.5316 0.7876 0.6847  4 Er 3.53-3.61, 1 Th 3.58, 7 Nd 3.59-3.72
Er 0.6847 0.5316 0.7876  4 Er 3.53-3.61, 1 Th 3.58, 7 Nd 3.59-3.72
Er 0.7876 0.6847 0.5316  4 Er 3.53-3.61, 1 Th 3.58, 7 Nd 3.59-3.72
Th 0.0000 0.0000 0.0000  6 Er 3.58, 6 Nd 3.59

The value obtained for the energy above the most stable polymorph in this dataset is 0 meV per atom. Its formation energy is 0.02 eV/atom. For the theoretical density, the calculation gives 7.7 g/cm³.

# 3
Nd15Er4Th | PBE | relaxed

abc: 5.1590 5.1590 25.7069
angles: 90.00 90.00 90.00
With the nearest neighbours (Å) after each atom.
Atoms (fractional coordinates):
Nd 0.0000 0.0000 0.0000  8 Nd 3.63, 4 Th 3.65
Nd 0.0000 0.0000 0.2023  8 Nd 3.60-3.70, 4 Er 3.65
Nd 0.0000 0.0000 0.4006  8 Nd 3.63-3.65, 4 Er 3.65
Nd 0.0000 0.0000 0.5994  8 Nd 3.63-3.65, 4 Er 3.65
Nd 0.0000 0.0000 0.7977  8 Nd 3.60-3.70, 4 Er 3.65
Nd 0.0000 0.5000 0.0992  2 Th 3.63, 8 Nd 3.63-3.70, 2 Er 3.67
Nd 0.0000 0.5000 0.3001  8 Nd 3.60-3.65, 4 Er 3.63-3.64
Nd 0.0000 0.5000 0.5000  8 Nd 3.63-3.65, 4 Er 3.64
Nd 0.0000 0.5000 0.6999  8 Nd 3.60-3.65, 4 Er 3.63-3.64
Nd 0.0000 0.5000 0.9008  2 Th 3.63, 8 Nd 3.63-3.70, 2 Er 3.67
Nd 0.5000 0.0000 0.0992  2 Th 3.63, 8 Nd 3.63-3.70, 2 Er 3.67
Nd 0.5000 0.0000 0.3001  8 Nd 3.60-3.65, 4 Er 3.63-3.64
Nd 0.5000 0.0000 0.5000  8 Nd 3.63-3.65, 4 Er 3.64
Nd 0.5000 0.0000 0.6999  8 Nd 3.60-3.65, 4 Er 3.63-3.64
Nd 0.5000 0.0000 0.9008  2 Th 3.63, 8 Nd 3.63-3.70, 2 Er 3.67
Er 0.5000 0.5000 0.2007  12 Nd 3.63-3.67
Er 0.5000 0.5000 0.4002  12 Nd 3.64-3.65
Er 0.5000 0.5000 0.5998  12 Nd 3.64-3.65
Er 0.5000 0.5000 0.7993  12 Nd 3.63-3.67
Th 0.5000 0.5000 0.0000  12 Nd 3.63-3.65

Its formation energy is 0.02 eV/atom. For the theoretical density, the calculation gives 7.4 g/cm³.

# 4
Nd3Er2Th4 | PBE | relaxed

abc: 6.2156 6.2304 9.4838
angles: 71.12 71.26 60.11
With the nearest neighbours (Å) after each atom.
Atoms (fractional coordinates):
Nd 0.0000 0.0000 0.0000  8 Th 3.57-3.61, 2 Er 3.58, 2 Nd 3.60
Nd 0.4443 0.1144 0.6686  6 Th 3.55-3.68, 4 Er 3.55-3.63, 2 Nd 3.60-3.64
Nd 0.5557 0.8856 0.3314  6 Th 3.55-3.68, 4 Er 3.55-3.63, 2 Nd 3.60-3.64
Er 0.2245 0.5581 0.3314  6 Th 3.55-3.63, 5 Nd 3.55-3.63, 1 Er 3.65
Er 0.7755 0.4419 0.6686  6 Th 3.55-3.63, 5 Nd 3.55-3.63, 1 Er 3.65
Th 0.1026 0.7737 0.6682  4 Er 3.55-3.63, 5 Nd 3.55-3.68, 3 Th 3.55-3.60
Th 0.3302 0.3382 0.0008  5 Th 3.55-3.66, 2 Er 3.56-3.59, 5 Nd 3.57-3.61
Th 0.6698 0.6618 0.9992  5 Th 3.55-3.66, 2 Er 3.56-3.59, 5 Nd 3.57-3.61
Th 0.8974 0.2263 0.3318  4 Er 3.55-3.63, 5 Nd 3.55-3.68, 3 Th 3.55-3.60

Its formation energy is 0.07 eV/atom. For the theoretical density, the calculation gives 9.5 g/cm³.

# 5
NdErTh | PBE | relaxed

abc: 6.7731 6.9470 10.7598
angles: 99.84 99.12 118.86
With the nearest neighbours (Å) after each atom.
Atoms (fractional coordinates):
Nd 0.0002 0.2503 0.9999  4 Er 3.34, 6 Nd 3.39-3.49
Nd 0.9998 0.7497 0.0001  4 Er 3.34, 6 Nd 3.39-3.49
Nd 0.5004 0.2505 0.0011  6 Nd 3.39-3.49
Nd 0.4996 0.7495 0.9989  6 Nd 3.39-3.49
Er 0.1398 0.1401 0.2798  2 Nd 3.34, 4 Th 3.35-3.41, 2 Er 3.47-3.48
Er 0.1405 0.6400 0.2799  2 Nd 3.34, 4 Th 3.35-3.41, 2 Er 3.47-3.48
Er 0.8595 0.3600 0.7201  2 Nd 3.34, 4 Th 3.35-3.41, 2 Er 3.47-3.48
Er 0.8602 0.8599 0.7202  2 Nd 3.34, 4 Th 3.35-3.41, 2 Er 3.47-3.48
Th 0.2837 0.0337 0.5675  4 Er 3.35-3.41, 4 Th 3.47-3.66
Th 0.2839 0.5339 0.5678  4 Er 3.35-3.41, 4 Th 3.47-3.66
Th 0.7161 0.4661 0.4322  4 Er 3.35-3.41, 4 Th 3.47-3.66
Th 0.7163 0.9663 0.4325  4 Er 3.35-3.41, 4 Th 3.47-3.66

The value obtained for the energy above the most stable polymorph in this dataset is 308 meV per atom. Its formation energy is 0.34 eV/atom. For the theoretical density, the calculation gives 8.6 g/cm³.

# 6
NdEr5Th2 | PBE | relaxed

abc: 3.5132 11.1423 13.2020
angles: 90.00 90.00 90.00
With the nearest neighbours (Å) after each atom.
Atoms (fractional coordinates):
Nd 0.0000 0.0000 0.0000  2 Nd 3.51, 4 Th 3.61, 8 Er 3.91
Nd 0.5000 0.5000 0.5000  2 Nd 3.51, 4 Th 3.61, 8 Er 3.91
Er 0.0000 0.2282 0.3685  3 Th 3.34-3.53, 7 Er 3.47-3.62
Er 0.0000 0.2282 0.6315  3 Th 3.34-3.53, 7 Er 3.47-3.62
Er 0.0000 0.5000 0.0000  2 Th 3.45, 10 Er 3.51-3.54
Er 0.0000 0.7718 0.3685  3 Th 3.34-3.53, 7 Er 3.47-3.62
Er 0.0000 0.7718 0.6315  3 Th 3.34-3.53, 7 Er 3.47-3.62
Er 0.5000 0.0000 0.5000  2 Th 3.45, 10 Er 3.51-3.54
Er 0.5000 0.2718 0.1315  3 Th 3.34-3.53, 7 Er 3.47-3.62
Er 0.5000 0.2718 0.8685  3 Th 3.34-3.53, 7 Er 3.47-3.62
Er 0.5000 0.7282 0.1315  3 Th 3.34-3.53, 7 Er 3.47-3.62
Er 0.5000 0.7282 0.8685  3 Th 3.34-3.53, 7 Er 3.47-3.62
Th 0.0000 0.5000 0.2612  7 Er 3.34-3.53, 2 Th 3.51, 2 Nd 3.61
Th 0.0000 0.5000 0.7388  7 Er 3.34-3.53, 2 Th 3.51, 2 Nd 3.61
Th 0.5000 0.0000 0.2388  7 Er 3.34-3.53, 2 Th 3.51, 2 Nd 3.61
Th 0.5000 0.0000 0.7612  7 Er 3.34-3.53, 2 Th 3.51, 2 Nd 3.61

The value obtained for the energy above the most stable polymorph in this dataset is 66 meV per atom. Its formation energy is 0.10 eV/atom. For the theoretical density, the calculation gives 9.3 g/cm³.

# 7
NdEr6Th4 | PBE | relaxed

abc: 18.1515 18.1515 18.1515
angles: 169.19 161.47 21.50
With the nearest neighbours (Å) after each atom.
Atoms (fractional coordinates):
Nd 0.0000 0.0000 0.0000  2 Nd 3.42, 8 Th 3.74
Er 0.0972 0.5972 0.5000  6 Er 3.42-3.60, 4 Th 3.47-3.49
Er 0.2670 0.7670 0.5000  7 Er 3.42-3.62, 4 Th 3.43-3.47
Er 0.3684 0.8684 0.5000  7 Er 3.42-3.62, 4 Th 3.44-3.54
Er 0.6316 0.1316 0.5000  7 Er 3.42-3.62, 4 Th 3.44-3.54
Er 0.7330 0.2330 0.5000  7 Er 3.42-3.62, 4 Th 3.43-3.47
Er 0.9028 0.4028 0.5000  6 Er 3.42-3.60, 4 Th 3.47-3.49
Th 0.1825 0.1825 0.0000  2 Th 3.42, 8 Er 3.43-3.49
Th 0.4552 0.4552 0.0000  3 Th 3.20-3.42, 4 Er 3.47-3.54
Th 0.5448 0.5448 0.0000  3 Th 3.20-3.42, 4 Er 3.47-3.54
Th 0.8175 0.8175 0.0000  2 Th 3.42, 8 Er 3.43-3.49

Its formation energy is 0.17 eV/atom. For the theoretical density, the calculation gives 9.7 g/cm³.

# 8
Nd8Er6Th | PBE | relaxed

abc: 8.7554 8.7554 8.7554
angles: 62.64 62.64 62.64
With the nearest neighbours (Å) after each atom.
Atoms (fractional coordinates):
Nd 0.0782 0.0782 0.0782  4 Nd 3.29-3.43, 3 Er 3.38
Nd 0.2153 0.6151 0.2576  3 Er 3.43-3.79, 5 Nd 3.43-3.50, 1 Th 3.51
Nd 0.2576 0.2153 0.6151  3 Er 3.43-3.79, 5 Nd 3.43-3.50, 1 Th 3.51
Nd 0.3849 0.7424 0.7847  3 Er 3.43-3.79, 5 Nd 3.43-3.50, 1 Th 3.51
Nd 0.6151 0.2576 0.2153  3 Er 3.43-3.79, 5 Nd 3.43-3.50, 1 Th 3.51
Nd 0.7424 0.7847 0.3849  3 Er 3.43-3.79, 5 Nd 3.43-3.50, 1 Th 3.51
Nd 0.7847 0.3849 0.7424  3 Er 3.43-3.79, 5 Nd 3.43-3.50, 1 Th 3.51
Nd 0.9218 0.9218 0.9218  4 Nd 3.29-3.43, 3 Er 3.38
Er 0.0366 0.5945 0.7497  3 Nd 3.38-3.49, 1 Th 3.51, 3 Er 3.54-3.75
Er 0.2503 0.9634 0.4055  3 Nd 3.38-3.49, 1 Th 3.51, 3 Er 3.54-3.75
Er 0.4055 0.2503 0.9634  3 Nd 3.38-3.49, 1 Th 3.51, 3 Er 3.54-3.75
Er 0.5945 0.7497 0.0366  3 Nd 3.38-3.49, 1 Th 3.51, 3 Er 3.54-3.75
Er 0.7497 0.0366 0.5945  3 Nd 3.38-3.49, 1 Th 3.51, 3 Er 3.54-3.75
Er 0.9634 0.4055 0.2503  3 Nd 3.38-3.49, 1 Th 3.51, 3 Er 3.54-3.75
Th 0.5000 0.5000 0.5000  6 Nd 3.51, 6 Er 3.51

Its formation energy is 0.13 eV/atom. For the theoretical density, the calculation gives 7.9 g/cm³.

# 9
Nd6Er3Th | PBE | relaxed

abc: 13.3147 3.5547 14.5441
angles: 90.00 100.60 90.00
With the nearest neighbours (Å) after each atom.
Atoms (fractional coordinates):
Nd 0.9998 0.2500 0.1901  4 Er 3.45-3.46, 7 Nd 3.55-3.68
Nd 0.0002 0.7500 0.8099  4 Er 3.45-3.46, 7 Nd 3.55-3.68
Nd 0.1542 0.7500 0.3800  4 Er 3.47-3.63, 8 Nd 3.55-3.70
Nd 0.2289 0.2500 0.7972  3 Er 3.51-3.70, 7 Nd 3.53-3.86, 2 Th 3.68
Nd 0.2797 0.2500 0.2117  1 Th 3.37, 3 Er 3.37-3.54, 5 Nd 3.55-3.68
Nd 0.3106 0.2500 0.5796  5 Er 3.45-3.72, 5 Nd 3.53-3.70, 2 Th 3.66
Nd 0.3767 0.7500 0.0161  8 Nd 3.55-3.86, 2 Er 3.79, 3 Th 3.79-3.89
Nd 0.6233 0.2500 0.9839  8 Nd 3.55-3.86, 2 Er 3.79, 3 Th 3.79-3.89
Nd 0.6894 0.7500 0.4204  5 Er 3.45-3.72, 5 Nd 3.53-3.70, 2 Th 3.66
Nd 0.7203 0.7500 0.7883  1 Th 3.37, 3 Er 3.37-3.54, 5 Nd 3.55-3.68
Nd 0.7711 0.7500 0.2028  3 Er 3.51-3.70, 7 Nd 3.53-3.86, 2 Th 3.68
Nd 0.8458 0.2500 0.6200  4 Er 3.47-3.63, 8 Nd 3.55-3.70
Er 0.0771 0.7500 0.5953  8 Nd 3.46-3.70, 4 Er 3.55-3.60
Er 0.1231 0.2500 0.0010  5 Nd 3.37-3.51, 4 Er 3.55-3.72
Er 0.4268 0.7500 0.4006  6 Nd 3.45-3.72, 4 Er 3.55-3.64, 2 Th 3.63
Er 0.5732 0.2500 0.5994  6 Nd 3.45-3.72, 4 Er 3.55-3.64, 2 Th 3.63
Er 0.8769 0.7500 0.9990  5 Nd 3.37-3.51, 4 Er 3.55-3.72
Er 0.9229 0.2500 0.4047  8 Nd 3.46-3.70, 4 Er 3.55-3.60
Th 0.4654 0.7500 0.7760  5 Nd 3.37-3.68, 2 Th 3.55, 2 Er 3.63
Th 0.5346 0.2500 0.2240  5 Nd 3.37-3.68, 2 Th 3.55, 2 Er 3.63

The value obtained for the energy above the most stable polymorph in this dataset is 0 meV per atom. Its formation energy is 0.08 eV/atom. For the theoretical density, the calculation gives 7.8 g/cm³.

# 10
Nd6Er5Th | PBE | relaxed

abc: 9.5177 9.5177 9.5177
angles: 148.81 115.57 73.32
With the nearest neighbours (Å) after each atom.
Atoms (fractional coordinates):
Nd 0.0856 0.3354 0.7502  7 Er 3.57-3.64, 1 Th 3.57, 4 Nd 3.59-3.65
Nd 0.2486 0.0000 0.2486  6 Er 3.56-3.62, 4 Nd 3.59, 2 Th 3.59
Nd 0.4149 0.6646 0.7502  7 Er 3.57-3.64, 1 Th 3.57, 4 Nd 3.59-3.65
Nd 0.5851 0.3354 0.2498  7 Er 3.57-3.64, 1 Th 3.57, 4 Nd 3.59-3.65
Nd 0.7514 0.0000 0.7514  6 Er 3.56-3.62, 4 Nd 3.59, 2 Th 3.59
Nd 0.9144 0.6646 0.2498  7 Er 3.57-3.64, 1 Th 3.57, 4 Nd 3.59-3.65
Er 0.1642 0.1642 0.0000  8 Nd 3.56-3.64, 2 Th 3.58, 2 Er 3.62
Er 0.3320 0.8320 0.5000  8 Nd 3.60-3.62, 4 Er 3.62
Er 0.5000 0.5000 0.0000  8 Nd 3.57-3.61, 4 Er 3.62
Er 0.6680 0.1680 0.5000  8 Nd 3.60-3.62, 4 Er 3.62
Er 0.8358 0.8358 0.0000  8 Nd 3.56-3.64, 2 Th 3.58, 2 Er 3.62
Th 0.0000 0.5000 0.5000  8 Nd 3.57-3.59, 4 Er 3.58

Its formation energy is 0.03 eV/atom. For the theoretical density, the calculation gives 8.1 g/cm³.